Compound: Li2SmZn4
Source: the Alexandria database
Functional: GGA-PBE
Structure: optimized geometry

Calculated values
As for the symmetry: Immm. The polymorph energy (0 for the lowest one) comes out at 111 meV per atom.

Lattice parameters (Å, degrees): 3.2028 4.5248 18.1743 90.00 90.00 90.00
Closest atoms and distances in Å follow each position.
Element x y z (fractional)
Li  0.0000  0.0000  0.1999  7 Zn 2.72-2.91
Li  0.0000  0.0000  0.8001  7 Zn 2.72-2.91
Li  0.5000  0.5000  0.3001  7 Zn 2.72-2.91
Li  0.5000  0.5000  0.6999  7 Zn 2.72-2.91
Sm  0.0000  0.5000  0.0000  12 Zn 3.11-3.17, 2 Sm 3.20
Sm  0.5000  0.0000  0.5000  12 Zn 3.11-3.17, 2 Sm 3.20
Zn  0.0000  0.0000  0.3496  2 Zn 2.63, 5 Li 2.72-2.91
Zn  0.0000  0.0000  0.6504  2 Zn 2.63, 5 Li 2.72-2.91
Zn  0.0000  0.5000  0.4230  3 Zn 2.63-2.80, 2 Li 2.75
Zn  0.0000  0.5000  0.5770  3 Zn 2.63-2.80, 2 Li 2.75
Zn  0.5000  0.0000  0.0770  3 Zn 2.63-2.80, 2 Li 2.75
Zn  0.5000  0.0000  0.9230  3 Zn 2.63-2.80, 2 Li 2.75
Zn  0.5000  0.5000  0.1504  2 Zn 2.63, 5 Li 2.72-2.91
Zn  0.5000  0.5000  0.8496  2 Zn 2.63, 5 Li 2.72-2.91